Below is crystalline SbSIN2 at its relaxed geometry, with properties calculated at the PBE level.

Lattice parameters (Å, degrees): 4.176 4.176 5.126 90.00 90.00 90.00
Positions (direct):
Sb 0.000 0.000 0.000
S 0.500 0.500 0.500
I 0.500 0.500 0.000
N 0.000 0.500 0.500
N 0.500 0.000 0.500

Summary:
As for the density of states at the Fermi level: 3.1 states/eV/f.u. The total energy is -16.69 eV/cell. The space-group type is No. 123. As for the uncorrected formation energy: 188.32 kJ per mole of atoms. The energy relative to the lowest polymorph listed for this composition is 0.6323 eV/atom.

---

Below is crystalline ScSIN2 at its relaxed geometry, with properties calculated at the PBE level.

Lattice parameters (Å, degrees): 4.037 4.037 5.125 90.00 90.00 90.00
Positions (direct):
Sc 0.000 0.000 0.000
S 0.500 0.500 0.000
I 0.500 0.500 0.500
N 0.000 0.500 0.500
N 0.500 0.000 0.500

Summary:
As for the density of states at the Fermi level: 4.3 states/eV/f.u. The total energy is -23.25 eV/cell. The space-group type is No. 123. As for the uncorrected formation energy: 104.33 kJ per mole of atoms. The energy relative to the lowest polymorph listed for this composition is 0.3330 eV/atom.

---

Below is crystalline ScS2IN at its relaxed geometry, with properties calculated at the PBE level.

Lattice parameters (Å, degrees): 5.108 5.108 4.076 90.00 90.00 90.00
Positions (direct):
Sc 0.000 0.000 0.000
S 0.000 0.500 0.000
S 0.500 0.000 0.000
I 0.500 0.500 0.500
N 0.000 0.000 0.500

Summary:
As for the density of states at the Fermi level: 7.6 states/eV/f.u. The total energy is -22.89 eV/cell. The space-group type is No. 123. As for the uncorrected formation energy: 30.35 kJ per mole of atoms. The energy relative to the lowest polymorph listed for this composition is 0.0000 eV/atom.

---

Below is crystalline ScSIN2 at its relaxed geometry, with properties calculated at the PBE level.

Lattice parameters (Å, degrees): 4.309 4.309 5.410 90.00 90.00 90.00
Positions (direct):
Sc 0.000 0.000 0.000
S 0.000 0.000 0.500
I 0.500 0.500 0.500
N 0.000 0.500 0.000
N 0.500 0.000 0.000

Summary:
As for the density of states at the Fermi level: 2.5 states/eV/f.u. The total energy is -24.92 eV/cell. The space-group type is No. 123. As for the uncorrected formation energy: 72.20 kJ per mole of atoms. The energy relative to the lowest polymorph listed for this composition is 0.0000 eV/atom.

---

Below is crystalline ScS2IN at its relaxed geometry, with properties calculated at the PBE level.

Lattice parameters (Å, degrees): 5.192 5.192 3.922 90.00 90.00 90.00
Positions (direct):
Sc 0.000 0.000 0.000
S 0.000 0.500 0.500
S 0.500 0.000 0.500
I 0.500 0.500 0.500
N 0.500 0.500 0.000

Summary:
As for the density of states at the Fermi level: 3.4 states/eV/f.u. The total energy is -20.75 eV/cell. The space-group type is No. 123. As for the uncorrected formation energy: 71.62 kJ per mole of atoms. The energy relative to the lowest polymorph listed for this composition is 0.4278 eV/atom.

---

Below is crystalline ScSIN2 at its relaxed geometry, with properties calculated at the PBE level.

Lattice parameters (Å, degrees): 4.074 4.074 6.673 90.00 90.00 90.00
Positions (direct):
Sc 0.000 0.000 0.000
S 0.500 0.500 0.500
I 0.000 0.000 0.500
N 0.000 0.500 0.000
N 0.500 0.000 0.000

Summary:
As for the density of states at the Fermi level: 4.7 states/eV/f.u. The total energy is -24.13 eV/cell. The space-group type is No. 123. As for the uncorrected formation energy: 87.36 kJ per mole of atoms. The energy relative to the lowest polymorph listed for this composition is 0.1571 eV/atom.

---

Below is crystalline ScSIN2 at its relaxed geometry, with properties calculated at the PBE level.

Lattice parameters (Å, degrees): 3.968 3.968 5.015 90.00 90.00 90.00
Positions (direct):
Sc 0.000 0.000 0.000
S 0.500 0.500 0.500
I 0.500 0.500 0.000
N 0.000 0.500 0.500
N 0.500 0.000 0.500

Summary:
As for the density of states at the Fermi level: 4.0 states/eV/f.u. The total energy is -22.17 eV/cell. The space-group type is No. 123. As for the uncorrected formation energy: 125.31 kJ per mole of atoms. The energy relative to the lowest polymorph listed for this composition is 0.5504 eV/atom.

---

Below is crystalline SeSIN2 at its relaxed geometry, with properties calculated at the PBE level.

Lattice parameters (Å, degrees): 3.878 3.878 6.952 90.00 90.00 90.00
Positions (direct):
Se 0.000 0.000 0.000
S 0.500 0.500 0.000
I 0.500 0.500 0.500
N 0.000 0.500 0.500
N 0.500 0.000 0.500

Summary:
As for the density of states at the Fermi level: 2.7 states/eV/f.u. The total energy is -16.45 eV/cell. The space-group type is No. 123. As for the uncorrected formation energy: 180.75 kJ per mole of atoms. The energy relative to the lowest polymorph listed for this composition is 0.2679 eV/atom.

---

Below is crystalline SeSIN2 at its relaxed geometry, with properties calculated at the PBE level.

Lattice parameters (Å, degrees): 3.823 3.823 7.407 90.00 90.00 90.00
Positions (direct):
Se 0.000 0.000 0.000
S 0.000 0.000 0.500
I 0.500 0.500 0.500
N 0.000 0.500 0.000
N 0.500 0.000 0.000

Summary:
As for the density of states at the Fermi level: 3.3 states/eV/f.u. The total energy is -17.79 eV/cell. The space-group type is No. 123. As for the uncorrected formation energy: 154.90 kJ per mole of atoms. The energy relative to the lowest polymorph listed for this composition is 0.0000 eV/atom.

---

Below is crystalline SeSIN2 at its relaxed geometry, with properties calculated at the PBE level.

Lattice parameters (Å, degrees): 3.779 3.779 7.512 90.00 90.00 90.00
Positions (direct):
Se 0.000 0.000 0.000
S 0.000 0.000 0.500
I 0.500 0.500 0.000
N 0.000 0.500 0.500
N 0.500 0.000 0.500

Summary:
As for the density of states at the Fermi level: 5.0 states/eV/f.u. The total energy is -17.28 eV/cell. The space-group type is No. 123. As for the uncorrected formation energy: 164.59 kJ per mole of atoms. The energy relative to the lowest polymorph listed for this composition is 0.1004 eV/atom.

---

Below is crystalline SeSIN2 at its relaxed geometry, with properties calculated at the PBE level.

Lattice parameters (Å, degrees): 3.876 3.876 7.125 90.00 90.00 90.00
Positions (direct):
Se 0.000 0.000 0.000
S 0.500 0.500 0.000
I 0.000 0.000 0.500
N 0.000 0.500 0.500
N 0.500 0.000 0.500

Summary:
As for the density of states at the Fermi level: 2.7 states/eV/f.u. The total energy is -16.44 eV/cell. The space-group type is No. 123. As for the uncorrected formation energy: 180.90 kJ per mole of atoms. The energy relative to the lowest polymorph listed for this composition is 0.2695 eV/atom.

---

Below is crystalline SiSIN2 at its relaxed geometry, with properties calculated at the PBE level.

Lattice parameters (Å, degrees): 3.710 3.710 6.903 90.00 90.00 90.00
Positions (direct):
Si 0.000 0.000 0.000
S 0.500 0.500 0.500
I 0.500 0.500 0.000
N 0.000 0.500 0.500
N 0.500 0.000 0.500

Summary:
As for the density of states at the Fermi level: 2.3 states/eV/f.u. The total energy is -18.56 eV/cell. The space-group type is No. 123. As for the uncorrected formation energy: 177.31 kJ per mole of atoms. The energy relative to the lowest polymorph listed for this composition is 0.9784 eV/atom.